1.
DFT (GGA-PBE) results for Ti3BeSi after structural relaxation.

extended XYZ file:
```
5
Lattice="-1.5107 -3.8187 -1.2435 1.3258 0.7799 -4.0056 3.7909 -1.7946 0.9053" Properties=species:S:1:pos:R:3 pbc="T T T"
Ti 0.6629 0.3899 -2.0028
Ti 1.8955 -0.8973 0.4527
Ti -0.7554 -1.9093 -0.6218
Si 1.8030 -2.4167 -2.1719
Be 0.0000 0.0000 0.0000
```

- calculated total energy (eV/atom) = -6.469
- symmetry = Pm-3m, No. 221
- uncorrected formation energy (eV per atom) = 0.098

=====

2.
DFT (GGA-PBE) results for Be2TlSi after structural relaxation.

extended XYZ file:
```
4
Lattice="-1.6666 -0.6877 -4.2784 4.6105 -0.2341 -0.4942 0.1702 -3.0084 0.0783" Properties=species:S:1:pos:R:3 pbc="T T T"
Tl 2.3903 -1.6213 -0.2079
Si -0.7482 -1.8480 -2.1000
Be 1.4719 -0.4609 -2.3863
Be 0.0000 0.0000 0.0000
```

- calculated total energy (eV/atom) = -2.992
- symmetry = C2/m, No. 12
- uncorrected formation energy (eV per atom) = 0.819

=====

3.
DFT (GGA-PBE) results for BeTlSi after structural relaxation.

extended XYZ file:
```
3
Lattice="-5.9847 0.1541 -1.3797 -4.3460 -4.2143 -1.0473 4.8548 1.4748 3.4640" Properties=species:S:1:pos:R:3 pbc="T T T"
Tl -6.9431 -2.7288 -1.6312
Be -9.4751 -3.7239 -2.2260
Si -4.2431 -1.6676 -0.9969
```

- calculated total energy (eV/atom) = -3.303
- symmetry = Imm2, No. 44
- uncorrected formation energy (eV per atom) = 0.536

=====

4.
DFT (GGA-PBE) results for BeTlSi2 after structural relaxation.

extended XYZ file:
```
4
Lattice="3.7566 0.0000 0.0000 0.0000 3.8468 0.0238 0.0000 1.2866 5.6494" Properties=species:S:1:pos:R:3 pbc="T T T"
Be 1.8783 3.8501 4.2549
Si 0.0000 4.8294 5.0175
Si 0.0000 2.8708 3.4923
Tl 1.8783 1.2834 1.4183
```

- calculated total energy (eV/atom) = -3.806
- symmetry = P2/m, No. 10
- uncorrected formation energy (eV per atom) = 0.428

=====

5.
DFT (GGA-PBE) results for BeTlSi2 after structural relaxation.

extended XYZ file:
```
4
Lattice="-2.8747 -0.9654 5.0176 2.6536 -3.8976 -3.4842 2.0853 -2.1445 2.0955" Properties=species:S:1:pos:R:3 pbc="T T T"
Tl -0.3947 -1.5550 3.5566
Si -0.1106 -2.4315 0.7667
Si 0.0000 0.0000 0.0000
Be 2.3694 -3.0210 -0.6943
```

- calculated total energy (eV/atom) = -3.571
- symmetry = C2/m, No. 12
- uncorrected formation energy (eV per atom) = 0.664

=====

6.
DFT (GGA-PBE) results for BeTlSi after structural relaxation.

extended XYZ file:
```
3
Lattice="-3.4816 1.2023 -2.5134 -4.0999 -1.4021 1.0530 -3.0046 2.8872 1.5875" Properties=species:S:1:pos:R:3 pbc="T T T"
Be 0.0000 0.0000 0.0000
Tl -2.6465 0.6719 0.0318
Si -5.2930 1.3437 0.0636
```

- calculated total energy (eV/atom) = -2.823
- symmetry = F-43m, No. 216
- uncorrected formation energy (eV per atom) = 1.016

=====

7.
DFT (GGA-PBE) results for BeTlSi2 after structural relaxation.

extended XYZ file:
```
4
Lattice="3.1201 0.0208 0.0000 -0.7841 3.0201 0.0000 0.0000 0.0000 7.9102" Properties=species:S:1:pos:R:3 pbc="T T T"
Tl 1.1680 1.5205 1.9776
Si 0.0000 0.0000 4.6831
Si 0.0000 0.0000 7.1823
Be 1.1680 1.5205 5.9327
```

- calculated total energy (eV/atom) = -3.743
- symmetry = Cmmm, No. 65
- uncorrected formation energy (eV per atom) = 0.491

=====

8.
DFT (GGA-PBE) results for BeTlSi3 after structural relaxation.

extended XYZ file:
```
5
Lattice="-1.2156 3.3614 2.7199 -0.1038 -2.8472 3.4724 4.3228 0.8769 0.8483" Properties=species:S:1:pos:R:3 pbc="T T T"
Si -0.6078 1.6807 1.3600
Si 2.1614 0.4384 0.4241
Si -0.0519 -1.4236 1.7362
Tl 1.5017 0.6955 3.5203
Be 0.0000 0.0000 0.0000
```

- calculated total energy (eV/atom) = -3.767
- symmetry = Pm-3m, No. 221
- uncorrected formation energy (eV per atom) = 0.706

=====

9.
DFT (GGA-PBE) results for BeTlSi2 after structural relaxation.

extended XYZ file:
```
4
Lattice="4.6498 0.0000 0.0000 2.3249 4.0269 0.0000 2.3249 1.3423 3.7966" Properties=species:S:1:pos:R:3 pbc="T T T"
Be 4.6498 2.6846 1.8983
Si 0.0000 0.0000 0.0000
Si 2.3249 1.3423 0.9491
Tl 6.9747 4.0269 2.8474
```

- calculated total energy (eV/atom) = -3.387
- symmetry = F-43m, No. 216
- uncorrected formation energy (eV per atom) = 0.848

=====

10.
DFT (GGA-PBE) results for BeTlSi4 after structural relaxation.

extended XYZ file:
```
6
Lattice="0.0000 3.7325 3.7325 3.7325 0.0000 3.7325 3.7325 3.7325 0.0000" Properties=species:S:1:pos:R:3 pbc="T T T"
Si 4.6834 4.6834 2.7816
Si 2.7816 4.6834 4.6834
Si 2.7816 2.7816 2.7816
Si 4.6834 2.7816 4.6834
Be 0.0000 0.0000 0.0000
Tl 5.5987 5.5987 5.5987
```

- calculated total energy (eV/atom) = -3.859
- symmetry = F-43m, No. 216
- uncorrected formation energy (eV per atom) = 0.772

=====

11.
DFT (GGA-PBE) results for Be2TlSi after structural relaxation.

extended XYZ file:
```
4
Lattice="-0.3126 3.7339 -0.4031 -2.7130 1.4445 -2.1807 -4.4418 1.5916 3.9482" Properties=species:S:1:pos:R:3 pbc="T T T"
Be -3.6801 5.1370 -1.6466
Be -3.0792 3.4264 -0.2551
Si -1.8669 1.6925 0.3411
Tl -5.6006 5.0775 1.0233
```

- calculated total energy (eV/atom) = -3.477
- symmetry = C2/m, No. 12
- uncorrected formation energy (eV per atom) = 0.334

=====

12.
DFT (GGA-PBE) results for Be2TlSi after structural relaxation.

extended XYZ file:
```
4
Lattice="4.8661 0.0000 0.0000 0.0000 4.8661 0.0000 0.0000 0.0000 2.6824" Properties=species:S:1:pos:R:3 pbc="T T T"
Be 2.4331 2.4331 0.0000
Be 0.0000 0.0000 0.0000
Tl 0.0000 2.4331 1.3412
Si 2.4331 0.0000 1.3412
```

- calculated total energy (eV/atom) = -2.953
- symmetry = P4/mmm, No. 123
- uncorrected formation energy (eV per atom) = 0.857